1.
# Rb2NaGaFe

Rb2NaGaFe after structural relaxation (PBE, Alexandria via LeMat-Bulk).

a = 6.8860 Å, b = 4.7486 Å, c = 6.8860 Å
α = 90.00°, β = 90.00°, γ = 90.00°
With the nearest neighbours (Å) after each atom.
Fractional coordinates of all 5 atoms:
Fe1 0.0000 0.5000 0.0000  2 Ga 2.37
Rb1 0.5000 0.0000 0.0000  2 Ga 3.44
Rb2 0.0000 0.0000 0.5000  2 Ga 3.44
Na1 0.5000 0.5000 0.5000  8 Rb 4.18
Ga1 0.0000 0.0000 0.0000  2 Fe 2.37

Results
M_tot ... 2.32 μB per formula unit
Energy relative to the elements ... 527.7 meV per atom
N(E_F) ... 5.72 states/eV per cell

=====

2.
# ZnGeTe2

ZnGeTe2 after structural relaxation (PBE, Alexandria via LeMat-Bulk).

a = 5.1374 Å, b = 5.1374 Å, c = 5.1374 Å
α = 60.00°, β = 60.00°, γ = 60.00°
With the nearest neighbours (Å) after each atom.
Fractional coordinates of all 4 atoms:
Te1 0.7500 0.7500 0.7500  4 Ge 3.15, 4 Zn 3.15
Te2 0.2500 0.2500 0.2500  4 Ge 3.15, 4 Zn 3.15
Zn1 0.0000 0.0000 0.0000  8 Te 3.15
Ge1 0.5000 0.5000 0.5000  8 Te 3.15

Results
Distance to the lowest polymorph of the same formula ... 307 meV/atom
M_tot ... 0.00 μB per formula unit
Raw formation energy ... 0.212 eV/atom
N(E_F) ... 2.00 states/eV per cell

=====

3.
# KBa2Mn

KBa2Mn after structural relaxation (PBE, Alexandria via LeMat-Bulk).

a = 8.1542 Å, b = 8.1542 Å, c = 6.4688 Å
α = 66.64°, β = 66.64°, γ = 29.94°
With the nearest neighbours (Å) after each atom.
Fractional coordinates of all 4 atoms:
Mn1 0.2564 0.2564 0.2431  2 Ba 3.37, 2 K 3.59
Ba1 0.9396 0.9396 0.0606  2 Mn 3.37
Ba2 0.7502 0.7502 0.7497  4 Mn 3.86, 4 Ba 4.21-4.23, 2 K 4.29-4.30
K1 0.5537 0.5537 0.4466  2 Mn 3.59

Results
Distance to the lowest polymorph of the same formula ... 146 meV/atom
M_tot ... 3.49 μB per formula unit
Energy relative to the elements ... 497.3 meV per atom
N(E_F) ... 5.95 states/eV per cell

=====

Question: M_tot of number 3 (KBa2Mn)?
Answer: 3.49 μB per formula unit

=====

Question: The lowest N(E_F) belongs to which entry?
Answer: ZnGeTe2

=====

Repeat the third record exactly.
# KBa2Mn

KBa2Mn after structural relaxation (PBE, Alexandria via LeMat-Bulk).

a = 8.1542 Å, b = 8.1542 Å, c = 6.4688 Å
α = 66.64°, β = 66.64°, γ = 29.94°
With the nearest neighbours (Å) after each atom.
Fractional coordinates of all 4 atoms:
Mn1 0.2564 0.2564 0.2431  2 Ba 3.37, 2 K 3.59
Ba1 0.9396 0.9396 0.0606  2 Mn 3.37
Ba2 0.7502 0.7502 0.7497  4 Mn 3.86, 4 Ba 4.21-4.23, 2 K 4.29-4.30
K1 0.5537 0.5537 0.4466  2 Mn 3.59

Results
Distance to the lowest polymorph of the same formula ... 146 meV/atom
M_tot ... 3.49 μB per formula unit
Energy relative to the elements ... 497.3 meV per atom
N(E_F) ... 5.95 states/eV per cell